10
Lattice="-3.7554 -0.5303 -5.1321 -4.9574 -1.9431 3.8270 -2.2322 7.4060 0.8682" Properties=species:S:1:pos:R:3 comment="Pm3SmRu | Alexandria via LeMat-Bulk | GGA-PBE | optimized geometry" relative_energy_mev_per_atom=87 sg="Pmn2_1, No. 31" ef_ev_per_atom=-0.08 pbc="T T T"
Pm -7.9639 5.1518 1.9168
Pm -3.6867 0.6143 -0.7059
Pm -6.8480 1.4499 1.4830
Pm -5.1138 4.6654 -4.0473
Pm -8.0613 5.5855 -2.0234
Pm -6.9449 1.8819 -2.4573
Ru -5.5750 3.7835 2.2911
Ru -6.3431 -0.1872 -0.7039
Sm -4.0261 0.9598 -4.5328
Sm -4.8427 4.3103 -0.3146